# Nb4AgP2, optimized geometry, DFT GGA-PBE
# Crystal system: tetragonal
# Total DFT energy (no corrections) in eV per atom: -6.719
# Formation energy in eV/atom: 0.989
# Space-group type: I4/mmm
data_Nb4AgP2
_cell_length_a 7.0984
_cell_length_b 7.0984
_cell_length_c 7.0984
_cell_angle_alpha 139.74
_cell_angle_beta 139.74
_cell_angle_gamma 58.25
_space_group_name_H-M_alt 'P 1'
_space_group_IT_number 1
_space_group_name_Hall 'P 1'
loop_
_atom_site_label
_atom_site_fract_x
_atom_site_fract_y
_atom_site_fract_z
Nb1 0.0000 0.5000 0.5000
Nb2 0.2215 0.2215 0.0000
Nb3 0.5000 0.0000 0.5000
Nb4 0.7785 0.7785 0.0000
Ag1 0.0000 0.0000 0.0000
P1 0.4101 0.4101 0.0000
P2 0.5899 0.5899 0.0000